1.
# Hf2TcGe2 | OQMD via LeMat-Bulk | PBE-GGA | optimized geometry
# - Crystal system: tetragonal
data_Hf2TcGe2
_chemical_formula_sum 'Hf4 Tc2 Ge4'
_space_group_name_H-M_alt 'P 4/m b m'
_space_group_IT_number 127
_space_group_name_Hall '-P 4 2ab'
_cell_length_a 6.640
_cell_length_b 6.640
_cell_length_c 3.930
_cell_angle_alpha 90.00
_cell_angle_beta 90.00
_cell_angle_gamma 90.00
loop_
_atom_site_label
_atom_site_fract_x
_atom_site_fract_y
_atom_site_fract_z
_atom_site_occupancy
Hf1 0.171 0.329 0.000 1
Tc1 0.000 0.000 0.500 1
Ge1 0.135 0.635 0.500 1



2.
# Hf2TcGe2 | OQMD via LeMat-Bulk | PBE-GGA | optimized geometry
# - Crystal system: tetragonal
data_Hf2TcGe2
_chemical_formula_sum 'Hf4 Tc2 Ge4'
_space_group_name_H-M_alt 'I 4/m m m'
_space_group_IT_number 139
_space_group_name_Hall '-I 4 2'
_cell_length_a 4.034
_cell_length_b 4.034
_cell_length_c 11.729
_cell_angle_alpha 90.00
_cell_angle_beta 90.00
_cell_angle_gamma 90.00
loop_
_atom_site_label
_atom_site_fract_x
_atom_site_fract_y
_atom_site_fract_z
_atom_site_occupancy
Hf1 0.000 0.500 0.250 1
Tc1 0.000 0.000 0.000 1
Ge1 0.000 0.000 0.403 1



3.
# HfTc2Ge2 | OQMD via LeMat-Bulk | PBE-GGA | optimized geometry
# - Crystal system: tetragonal
data_HfTc2Ge2
_chemical_formula_sum 'Hf2 Tc4 Ge4'
_space_group_name_H-M_alt 'I 4/m m m'
_space_group_IT_number 139
_space_group_name_Hall '-I 4 2'
_cell_length_a 4.120
_cell_length_b 4.120
_cell_length_c 10.104
_cell_angle_alpha 90.00
_cell_angle_beta 90.00
_cell_angle_gamma 90.00
loop_
_atom_site_label
_atom_site_fract_x
_atom_site_fract_y
_atom_site_fract_z
_atom_site_occupancy
Hf1 0.000 0.000 0.000 1
Tc1 0.000 0.500 0.250 1
Ge1 0.000 0.000 0.382 1



4.
# Hf2TcGe | OQMD via LeMat-Bulk | PBE-GGA | optimized geometry
# - Crystal system: cubic
data_Hf2TcGe
_chemical_formula_sum 'Hf8 Tc4 Ge4'
_space_group_name_H-M_alt 'F -4 3 m'
_space_group_IT_number 216
_space_group_name_Hall 'F -4 2 3'
_cell_length_a 6.541
_cell_length_b 6.541
_cell_length_c 6.541
_cell_angle_alpha 90.00
_cell_angle_beta 90.00
_cell_angle_gamma 90.00
loop_
_atom_site_label
_atom_site_fract_x
_atom_site_fract_y
_atom_site_fract_z
_atom_site_occupancy
Hf1 0.000 0.000 0.000 1
Hf2 0.250 0.250 0.250 1
Tc1 0.250 0.250 0.750 1
Ge1 0.000 0.000 0.500 1



Calculated volume for the records above, in order: 17.3, 19.1, 17.1, 17.5 Å³/atom
Uncorrected energy for the records above, in order: -8.53, -7.53, -8.13, -8.86 eV per atom
Spin magnetization for the records above, in order: 0.50, 2.39, 0.04, 0.02 μB per cell